## LiNd3Si2Pd9 (GGA-PBE)

Data for a relaxed LiNd3Si2Pd9 crystal.

Unit cell a=5.8652 b=5.8652 c=10.0084 alpha=90.00 beta=90.00 gamma=120.00
Positions (direct):
Li  0.0000  0.0000  0.0000
Nd  0.0000  0.0000  0.5000
Nd  0.3333  0.6667  0.1138
Nd  0.6667  0.3333  0.8862
Si  0.3333  0.6667  0.6654
Si  0.6667  0.3333  0.3346
Pd  0.0000  0.5000  0.5000
Pd  0.1600  0.3200  0.8148
Pd  0.1600  0.8400  0.8148
Pd  0.3200  0.1600  0.1852
Pd  0.5000  0.0000  0.5000
Pd  0.5000  0.5000  0.5000
Pd  0.6800  0.8400  0.8148
Pd  0.8400  0.1600  0.1852
Pd  0.8400  0.6800  0.1852

Results
As for the space group: No. 164. The calculation puts the energy relative to the elements, uncorrected at -0.62 eV/atom.